A geometry-optimized USiSb structure, computed with GGA-PBE.

Lattice parameters (Å, degrees): 3.987 4.361 8.095 74.37 90.00 90.00
Each line ends with the local moment (μB).
Element x y z (fractional)
U1 0.250 0.910 0.181  2.26
Si1 0.250 0.547 0.905  -0.04
Sb1 0.250 0.253 0.495  -0.02
Sb2 0.750 0.747 0.505  -0.02
U2 0.750 0.090 0.819  2.26
Si2 0.750 0.453 0.095  -0.04

As for the space-group type: Cmcm. Its crystal system is orthorhombic. The calculation puts the density at 9.50 g/cm³. The energy relative to the elements, uncorrected is -0.2382 eV/atom.